Material: K2Sn2Te
Method: DFT, PBE-GGA
State: relaxed

Computed properties:
V ... 374.3 Å³ per cell
Uncorrected formation energy ... -24.8 kJ/mol of atoms

```
data_K2Sn2Te
_cell_length_a 8.2069
_cell_length_b 8.2069
_cell_length_c 5.5565
_cell_angle_alpha 90.00
_cell_angle_beta 90.00
_cell_angle_gamma 90.00
_space_group_name_H-M_alt 'P 1'
_space_group_IT_number 1
loop_
_space_group_symop_operation_xyz
'x,y,z'
loop_
_atom_site_label
_atom_site_fract_x
_atom_site_fract_y
_atom_site_fract_z
Sn1 0.1220 0.3780 0.0000
Te1 0.5000 0.5000 0.0000
Sn2 0.8780 0.6220 0.0000
K1 0.3161 0.1839 0.5000
K2 0.8161 0.3161 0.5000
Sn3 0.3780 0.8780 0.0000
K3 0.1839 0.6839 0.5000
Te2 0.0000 0.0000 0.0000
Sn4 0.6220 0.1220 0.0000
K4 0.6839 0.8161 0.5000
```



Material: K3SnTe3
Method: DFT, PBE-GGA
State: relaxed

Computed properties:
V ... 1153.1 Å³ per cell
Uncorrected formation energy ... -80.1 kJ/mol of atoms
Energy relative to the lowest polymorph listed for this composition ... 7 meV/atom

```
data_K3SnTe3
_cell_length_a 5.3654
_cell_length_b 13.9516
_cell_length_c 15.4040
_cell_angle_alpha 90.00
_cell_angle_beta 90.00
_cell_angle_gamma 90.00
_space_group_name_H-M_alt 'P 1'
_space_group_IT_number 1
loop_
_space_group_symop_operation_xyz
'x,y,z'
loop_
_atom_site_label
_atom_site_fract_x
_atom_site_fract_y
_atom_site_fract_z
K1 0.7500 0.1535 0.0149
Te1 0.7500 0.2538 0.3840
Sn1 0.7500 0.4373 0.3044
Te2 0.7500 0.7538 0.1160
Te3 0.2500 0.7462 0.6160
Te4 0.2500 0.0185 0.1591
Sn2 0.2500 0.0627 0.8044
K2 0.7500 0.2330 0.7193
K3 0.7500 0.9402 0.6054
Te5 0.2500 0.2462 0.8840
Te6 0.7500 0.4815 0.6591
Te7 0.2500 0.6076 0.8762
K4 0.2500 0.8465 0.9851
Te8 0.7500 0.8924 0.3762
Te9 0.7500 0.9815 0.8409
K5 0.2500 0.7670 0.2807
K6 0.2500 0.5598 0.1054
Sn3 0.2500 0.5627 0.6956
Sn4 0.7500 0.9373 0.1956
Te10 0.7500 0.3924 0.1238
Te11 0.2500 0.5185 0.3409
Te12 0.2500 0.1076 0.6238
K7 0.7500 0.7330 0.7807
K8 0.2500 0.0598 0.3946
K9 0.7500 0.6535 0.4851
K10 0.7500 0.4402 0.8946
K11 0.2500 0.2670 0.2193
K12 0.2500 0.3465 0.5149
```



Material: K3Sn5Te12
Method: DFT, PBE-GGA
State: relaxed

Computed properties:
V ... 3138.8 Å³ per cell
Uncorrected formation energy ... -25.2 kJ/mol of atoms

```
data_K3Sn5Te12
_cell_length_a 15.9757
_cell_length_b 15.9757
_cell_length_c 15.9757
_cell_angle_alpha 109.47
_cell_angle_beta 109.47
_cell_angle_gamma 109.47
_space_group_name_H-M_alt 'P 1'
_space_group_IT_number 1
loop_
_space_group_symop_operation_xyz
'x,y,z'
loop_
_atom_site_label
_atom_site_fract_x
_atom_site_fract_y
_atom_site_fract_z
Te1 0.7925 0.4678 0.3827
Te2 0.1173 0.7075 0.5322
Sn1 0.3750 0.2500 0.1250
Te3 0.6173 0.5851 0.9098
Te4 0.4149 0.3827 0.5902
Sn2 0.6250 0.8750 0.2500
Te5 0.4098 0.1173 0.5851
Sn3 0.0000 0.5000 0.5000
Sn4 0.2500 0.8750 0.1250
Te6 0.9149 0.0902 0.8827
Sn5 0.7500 0.6250 0.3750
Sn6 0.5000 0.0000 0.5000
Te7 0.0902 0.9149 0.3827
Te8 0.9149 0.8247 0.5322
Sn7 0.0000 0.0000 0.5000
Te9 0.7075 0.5902 0.1753
K1 0.6250 0.3750 0.7500
Te10 0.5851 0.6173 0.4098
Te11 0.5902 0.7075 0.6753
Te12 0.8827 0.5902 0.9149
Te13 0.6753 0.2075 0.5902
Te14 0.9678 0.3827 0.2925
Te15 0.0851 0.9098 0.1173
Te16 0.3247 0.7925 0.4098
K2 0.2500 0.6250 0.8750
Te17 0.0902 0.1753 0.2075
K3 0.8750 0.7500 0.1250
Te18 0.5322 0.3247 0.9149
Te19 0.6753 0.4678 0.5851
Te20 0.6173 0.0322 0.2075
Sn8 0.5000 0.0000 0.0000
Sn9 0.7500 0.1250 0.8750
Te21 0.9678 0.5851 0.1753
Te22 0.1753 0.0902 0.7075
Te23 0.3247 0.5322 0.4149
Sn10 0.8750 0.2500 0.6250
Sn11 0.1250 0.7500 0.3750
Sn12 0.8750 0.6250 0.7500
K4 0.8750 0.1250 0.2500
Te24 0.4678 0.6753 0.0851
Te25 0.0322 0.4149 0.8247
Sn13 0.5000 0.5000 0.0000
K5 0.2500 0.1250 0.3750
Te26 0.7075 0.1173 0.0322
Sn14 0.0000 0.0000 0.0000
K6 0.6250 0.2500 0.3750
Te27 0.4149 0.0322 0.3247
K7 0.7500 0.8750 0.6250
Te28 0.1753 0.0851 0.9678
Sn15 0.5000 0.5000 0.5000
Sn16 0.1250 0.3750 0.2500
Te29 0.5851 0.9678 0.6753
Te30 0.2075 0.6753 0.0902
K8 0.7500 0.3750 0.1250
Te31 0.2925 0.8827 0.9678
Sn17 0.0000 0.5000 0.0000
Te32 0.7925 0.3247 0.9098
Te33 0.4678 0.7925 0.8827
Sn18 0.2500 0.3750 0.6250
K9 0.1250 0.8750 0.7500
K10 0.3750 0.7500 0.6250
Sn19 0.6250 0.7500 0.8750
Te34 0.8247 0.9149 0.0322
K11 0.3750 0.6250 0.2500
Te35 0.8827 0.2925 0.4678
Te36 0.4098 0.2925 0.3247
Te37 0.9098 0.0851 0.6173
Te38 0.2925 0.4098 0.8247
K12 0.1250 0.2500 0.8750
Te39 0.0322 0.6173 0.7075
Te40 0.1173 0.4098 0.0851
Te41 0.3827 0.4149 0.0902
Te42 0.9098 0.8247 0.7925
Te43 0.3827 0.9678 0.7925
Te44 0.0851 0.1753 0.4678
Te45 0.2075 0.5322 0.6173
Te46 0.8247 0.9098 0.2925
Te47 0.5902 0.8827 0.4149
Te48 0.5322 0.2075 0.1173
Sn20 0.3750 0.1250 0.7500
```



Material: K2Sn2Te5
Method: DFT, PBE-GGA
State: relaxed

Computed properties:
V ... 387.2 Å³ per cell
Uncorrected formation energy ... -46.5 kJ/mol of atoms

```
data_K2Sn2Te5
_cell_length_a 5.7921
_cell_length_b 9.3070
_cell_length_c 8.6339
_cell_angle_alpha 117.36
_cell_angle_beta 90.00
_cell_angle_gamma 108.13
_space_group_name_H-M_alt 'P 1'
_space_group_IT_number 1
loop_
_space_group_symop_operation_xyz
'x,y,z'
loop_
_atom_site_label
_atom_site_fract_x
_atom_site_fract_y
_atom_site_fract_z
Te1 0.6762 0.3524 0.0648
Te2 0.0914 0.1827 0.5762
Sn1 0.8407 0.6815 0.0451
Sn2 0.1593 0.3185 0.9549
K1 0.4495 0.8990 0.7046
Te3 0.3238 0.6476 0.9352
K2 0.5505 0.1010 0.2954
Te4 0.9086 0.8173 0.4238
Te5 0.0000 0.0000 0.0000
```



Material: K3Sn2Te4
Method: DFT, PBE-GGA
State: relaxed

Computed properties:
V ... 783.3 Å³ per cell
Uncorrected formation energy ... -63.5 kJ/mol of atoms
Energy relative to the lowest polymorph listed for this composition ... 0 meV/atom

```
data_K3Sn2Te4
_cell_length_a 9.3033
_cell_length_b 9.6483
_cell_length_c 9.9813
_cell_angle_alpha 118.90
_cell_angle_beta 92.54
_cell_angle_gamma 90.00
_space_group_name_H-M_alt 'P 1'
_space_group_IT_number 1
loop_
_space_group_symop_operation_xyz
'x,y,z'
loop_
_atom_site_label
_atom_site_fract_x
_atom_site_fract_y
_atom_site_fract_z
Sn1 0.0273 0.8374 0.3773
Te1 0.6666 0.2057 0.5618
Sn2 0.5273 0.5399 0.3773
K1 0.8522 0.2132 0.2486
K2 0.2500 0.4999 0.0000
Sn3 0.4727 0.4601 0.6227
Te2 0.3334 0.7943 0.4382
K3 0.3522 0.0354 0.2486
K4 0.7500 0.5001 0.0000
Te3 0.5034 0.7279 0.9060
Te4 0.9966 0.8219 0.0940
Te5 0.0034 0.1781 0.9060
Sn4 0.9727 0.1626 0.6227
Te6 0.1666 0.3561 0.5618
Te7 0.8334 0.6439 0.4382
K5 0.6478 0.9646 0.7514
K6 0.1478 0.7868 0.7514
Te8 0.4966 0.2721 0.0940
```



Material: KSnTe3
Method: DFT, PBE-GGA
State: relaxed

Computed properties:
V ... 210.8 Å³ per cell
Uncorrected formation energy ... 71.8 kJ/mol of atoms
Energy relative to the lowest polymorph listed for this composition ... 1120 meV/atom

```
data_KSnTe3
_cell_length_a 5.9515
_cell_length_b 5.9515
_cell_length_c 5.9515
_cell_angle_alpha 90.00
_cell_angle_beta 90.00
_cell_angle_gamma 90.00
_space_group_name_H-M_alt 'P 1'
_space_group_IT_number 1
loop_
_space_group_symop_operation_xyz
'x,y,z'
loop_
_atom_site_label
_atom_site_fract_x
_atom_site_fract_y
_atom_site_fract_z
K1 0.0000 0.0000 0.0000
Sn1 0.5000 0.5000 0.5000
Te1 0.0000 0.5000 0.0000
Te2 0.5000 0.0000 0.0000
Te3 0.0000 0.0000 0.5000
```



Material: K8SnTe6
Method: DFT, PBE-GGA
State: relaxed

Computed properties:
V ... 1341.5 Å³ per cell
Uncorrected formation energy ... -85.2 kJ/mol of atoms

```
data_K8SnTe6
_cell_length_a 9.5463
_cell_length_b 10.5561
_cell_length_c 13.3119
_cell_angle_alpha 90.00
_cell_angle_beta 90.00
_cell_angle_gamma 90.00
_space_group_name_H-M_alt 'P 1'
_space_group_IT_number 1
loop_
_space_group_symop_operation_xyz
'x,y,z'
loop_
_atom_site_label
_atom_site_fract_x
_atom_site_fract_y
_atom_site_fract_z
Te1 0.4112 0.5000 0.8282
Te2 0.0421 0.0000 0.3227
K1 0.5655 0.8057 0.7714
K2 0.3545 0.0000 0.0039
Te3 0.9579 0.5000 0.8227
Te4 0.2690 0.0000 0.7448
K3 0.4345 0.6943 0.2714
Te5 0.8318 0.2179 0.5808
K4 0.0138 0.6728 0.3557
K5 0.8149 0.1822 0.1551
K6 0.4345 0.3057 0.2714
Sn1 0.1822 0.5000 0.9621
K7 0.1851 0.6822 0.6551
K8 0.6862 0.5000 0.9942
K9 0.0138 0.3272 0.3557
Te6 0.1682 0.2821 0.0808
Te7 0.7310 0.5000 0.2448
Te8 0.1682 0.7179 0.0808
K10 0.9862 0.1728 0.8557
K11 0.1851 0.3178 0.6551
Sn2 0.8178 0.0000 0.4621
K12 0.9862 0.8272 0.8557
Te9 0.2892 0.5000 0.4544
Te10 0.7108 0.0000 0.9544
Te11 0.5888 0.0000 0.3282
K13 0.5655 0.1943 0.7714
K14 0.3138 0.0000 0.4942
K15 0.6455 0.5000 0.5039
Te12 0.8318 0.7821 0.5808
K16 0.8149 0.8178 0.1551
```



Material: K4SnTe4
Method: DFT, PBE-GGA
State: relaxed

Computed properties:
V ... 467.5 Å³ per cell
Uncorrected formation energy ... -75.4 kJ/mol of atoms

```
data_K4SnTe4
_cell_length_a 9.0047
_cell_length_b 9.0047
_cell_length_c 9.0047
_cell_angle_alpha 80.85
_cell_angle_beta 125.41
_cell_angle_gamma 125.41
_space_group_name_H-M_alt 'P 1'
_space_group_IT_number 1
loop_
_space_group_symop_operation_xyz
'x,y,z'
loop_
_atom_site_label
_atom_site_fract_x
_atom_site_fract_y
_atom_site_fract_z
Te1 0.3867 0.3150 0.3150
K1 0.0000 0.3100 0.3100
K2 0.5000 0.5000 0.0000
Te2 0.0000 0.0717 0.6850
K3 0.5000 0.0000 0.5000
Sn1 0.0000 0.0000 0.0000
Te3 0.6133 0.9283 0.9283
K4 0.0000 0.6900 0.6900
Te4 0.0000 0.6850 0.0717
```



Total DFT energy (no corrections)
In order: -2.93; -3.22; -3.31; -3.36; -3.31; -2.16; -2.99; -3.11
Unit: eV/atom
Magnetic moment
In order: 0.00; 0.00; 0.00; 0.00; 0.00; 0.00; 0.00; 0.00
Unit: μB/cell